# GGA-PBE Ge2ClO, relaxed
data_Ge2ClO
_chemical_formula_sum 'Ge8 Cl4 O4'
_space_group_name_H-M_alt 'I -4 2 d'
_space_group_IT_number 122
_space_group_name_Hall 'I -4 2bw'
_cell_length_a 4.972
_cell_length_b 4.972
_cell_length_c 13.710
_cell_angle_alpha 90.00
_cell_angle_beta 90.00
_cell_angle_gamma 90.00
loop_
_atom_site_label
_atom_site_type_symbol
_atom_site_fract_x
_atom_site_fract_y
_atom_site_fract_z
Ge1 Ge 0.094 0.250 0.125
Cl1 Cl 0.000 0.000 0.500
O1 O 0.000 0.000 0.000
# Magnetization = 0.00 μB/cell
# Polymorph energy (0 for the lowest one) = 0 meV/atom
# DFT total energy = -4.36 eV per atom
# N(E_F) = 6.1 states/eV/cell
# Uncorrected formation energy = -348.9 meV/atom